VASP calculation (GGA-PBEsol) on a relaxed CdPt2Au crystal.

a = 4.066 Å, b = 4.066 Å, c = 4.872 Å
α = 114.67°, β = 114.67°, γ = 90.00°
Atoms (fractional coordinates):
Au 0.500 0.500 0.000
Pt 0.750 0.250 0.500
Pt 0.250 0.750 0.500
Cd 0.000 0.000 0.000

Magnetization, μB/cell: 0.000
ΔH_f (0 K), meV per atom: -146
Fermi-level density of states, states/eV/f.u.: 1.69